Entry 1:
Nd8Ga3AuI4 after structural relaxation. Source: the Alexandria database, functional PBE-GGA.

Values from the calculation:
- E_tot (eV/f.u.) = -69.1
- space-group type = No. 12

Lattice parameters (Å, degrees): 8.770 9.128 8.780 118.81 119.96 90.00
Sites, in units of the cell vectors:
1 Ga 0.500 0.500 0.000
2 Ga 0.000 0.500 0.500
3 Ga 0.500 0.500 0.500
4 Nd 0.761 0.289 0.523
5 Nd 0.263 0.288 0.525
6 Nd 0.239 0.711 0.972
7 Nd 0.737 0.712 0.475
8 Nd 0.761 0.289 0.028
9 Nd 0.239 0.711 0.477
10 Nd 0.266 0.289 0.028
11 Nd 0.734 0.711 0.972
12 Au 0.000 0.500 0.000
13 I 0.500 0.000 0.500
14 I 0.500 0.000 0.000
15 I 0.000 0.000 0.000
16 I 0.000 0.000 0.500

---

Entry 2:
SrSnPt after structural relaxation. Source: the Alexandria database, functional PBE-GGA.

Values from the calculation:
- space-group type = No. 62
- calculated formation energy (eV per formula unit) = -2.609

Lattice parameters (Å, degrees): 4.769 7.716 8.100 90.00 90.00 90.00
Sites, in units of the cell vectors:
1 Pt 0.750 0.702 0.393
2 Pt 0.750 0.202 0.107
3 Pt 0.250 0.298 0.607
4 Pt 0.250 0.798 0.893
5 Sn 0.750 0.838 0.075
6 Sn 0.750 0.338 0.425
7 Sn 0.250 0.162 0.925
8 Sn 0.250 0.662 0.575
9 Sr 0.250 0.021 0.317
10 Sr 0.750 0.479 0.817
11 Sr 0.750 0.979 0.683
12 Sr 0.250 0.521 0.183

---

Entry 3:
K2Y2USe6 after structural relaxation. Source: the Alexandria database, functional PBE-GGA.

Values from the calculation:
- E_tot (eV/f.u.) = -64.9
- space-group type = No. 12

Lattice parameters (Å, degrees): 7.221 7.221 8.218 98.56 98.56 119.85
Sites, in units of the cell vectors:
1 Se 0.603 0.932 0.299
2 Se 0.261 0.261 0.300
3 Se 0.932 0.603 0.299
4 Se 0.068 0.397 0.701
5 Se 0.397 0.068 0.701
6 Se 0.739 0.739 0.700
7 Y 0.667 0.333 0.500
8 Y 0.333 0.667 0.500
9 U 0.000 0.000 0.500
10 K 0.832 0.168 0.000
11 K 0.168 0.832 0.000

---

Entry 4:
LaSm6Cd after structural relaxation. Source: the Alexandria database, functional PBE-GGA.

Values from the calculation:
- polymorph energy (0 for the lowest one) (meV per atom) = 0
- space-group type = No. 139
- calculated formation energy (eV per formula unit) = -0.249

Lattice parameters (Å, degrees): 4.995 4.995 10.987 76.86 76.86 90.00
Sites, in units of the cell vectors:
1 Sm 0.876 0.376 0.248
2 Sm 0.624 0.124 0.752
3 Sm 0.747 0.747 0.506
4 Sm 0.376 0.876 0.248
5 Sm 0.124 0.624 0.752
6 Sm 0.253 0.253 0.494
7 Cd 0.000 0.000 0.000
8 La 0.500 0.500 0.000

---

Entry 5:
LiZn7Cu5 after structural relaxation. Source: the Alexandria database, functional PBE-GGA.

Values from the calculation:
- space-group type = No. 8
- calculated formation energy (eV per formula unit) = -1.350

Lattice parameters (Å, degrees): 4.988 6.579 6.579 82.15 67.85 67.85
Sites, in units of the cell vectors:
1 Li 0.002 0.998 0.998
2 Zn 0.660 0.342 0.342
3 Zn 0.504 0.191 0.801
4 Zn 0.996 0.341 0.665
5 Zn 0.996 0.665 0.341
6 Zn 0.504 0.801 0.191
7 Zn 0.330 0.669 0.669
8 Zn 0.275 0.225 0.225
9 Cu 0.732 0.768 0.768
10 Cu 0.001 0.499 0.000
11 Cu 0.500 0.001 0.499
12 Cu 0.001 0.000 0.499
13 Cu 0.500 0.499 0.001

---

Entry 6:
KTlS2 after structural relaxation. Source: the Alexandria database, functional PBE-GGA.

Values from the calculation:
- polymorph energy (0 for the lowest one) (meV per atom) = 50
- space-group type = No. 4

Lattice parameters (Å, degrees): 5.913 6.263 7.577 74.31 90.01 90.00
Sites, in units of the cell vectors:
1 Tl 0.001 0.133 0.914
2 Tl 0.501 0.711 0.950
3 S 0.019 0.655 0.102
4 S 0.519 0.189 0.762
5 S 0.243 0.747 0.288
6 S 0.743 0.097 0.576
7 K 0.742 0.631 0.474
8 K 0.242 0.213 0.390

---

Entry 7:
Dy3InIr2 after structural relaxation. Source: the Alexandria database, functional PBE-GGA.

Values from the calculation:
- polymorph energy (0 for the lowest one) (meV per atom) = 50
- space-group type = No. 72
- calculated formation energy (eV per formula unit) = -3.961

Lattice parameters (Å, degrees): 6.678 7.040 8.162 115.55 114.15 90.00
Sites, in units of the cell vectors:
1 Dy 0.500 0.750 0.000
2 Dy 0.778 0.028 0.556
3 Dy 0.222 0.472 0.444
4 Dy 0.222 0.972 0.444
5 Dy 0.778 0.528 0.556
6 Dy 0.500 0.250 0.000
7 Ir 0.567 0.362 0.724
8 Ir 0.843 0.138 0.276
9 Ir 0.157 0.862 0.724
10 Ir 0.433 0.638 0.276
11 In 0.000 0.500 0.000
12 In 0.000 0.000 0.000

---

Entry 8:
RbNbCoHg2 after structural relaxation. Source: the Alexandria database, functional PBE-GGA.

Values from the calculation:
- space-group type = No. 123
- calculated formation energy (eV per formula unit) = 2.481

Lattice parameters (Å, degrees): 5.254 4.567 5.254 90.00 90.00 90.00
Sites, in units of the cell vectors:
1 Hg 0.000 0.000 0.500
2 Hg 0.500 0.000 0.000
3 Nb 0.000 0.500 0.000
4 Co 0.000 0.000 0.000
5 Rb 0.500 0.500 0.500